Entry 1:
The following is a DFT calculation (PBE) of crystalline TbPrZnAu at its relaxed geometry.

Cell lengths 5.193, 5.193, 5.193 Å; angles 60.00, 60.00, 60.00 degrees
Fractional coordinates of all 4 atoms:
Pr: 0.250 0.250 0.250
Tb: 0.750 0.750 0.750
Zn: 0.000 0.000 0.000
Au: 0.500 0.500 0.500

Summary:
Total magnetic moment = 0.000 μB/atom
Space group = F-43m (216)
E above lowest polymorph = 26 meV/atom
E_form = -0.537 eV/atom


Entry 2:
The following is a DFT calculation (PBE) of crystalline TbPrZnAu at its relaxed geometry.

Cell lengths 3.676, 3.676, 7.273 Å; angles 90.00, 90.00, 90.00 degrees
Fractional coordinates of all 4 atoms:
Tb: 0.500 0.500 0.108
Pr: 0.500 0.500 0.612
Zn: 0.000 0.000 0.875
Au: 0.000 0.000 0.333

Summary:
Total magnetic moment = 0.000 μB/atom
Space group = P4mm (99)
E above lowest polymorph = 0 meV/atom
E_form = -0.563 eV/atom


Entry 3:
The following is a DFT calculation (PBE) of crystalline Pr4TcAu at its relaxed geometry.

Cell lengths 6.499, 8.134, 8.134 Å; angles 110.48, 106.02, 106.02 degrees
Fractional coordinates of all 12 atoms:
Pr: 0.810 0.637 0.781
Pr: 0.080 0.941 0.289
Pr: 0.690 0.219 0.363
Pr: 0.420 0.711 0.059
Pr: 0.580 0.289 0.941
Pr: 0.310 0.781 0.637
Pr: 0.920 0.059 0.711
Pr: 0.190 0.363 0.219
Tc: 0.250 0.003 0.997
Tc: 0.750 0.997 0.003
Au: 0.750 0.628 0.372
Au: 0.250 0.372 0.628

Summary:
Total magnetic moment = 0.000 μB/atom
Space group = C2/c (15)
E_form = -0.248 eV/atom


Entry 4:
The following is a DFT calculation (PBE) of crystalline Pr8TcAu2 at its relaxed geometry.

Cell lengths 6.074, 8.320, 8.320 Å; angles 117.80, 102.59, 102.59 degrees
Fractional coordinates of all 11 atoms:
Pr: 0.602 0.335 0.103
Pr: 0.602 0.103 0.335
Pr: 0.185 0.364 0.364
Pr: 0.000 0.204 0.802
Pr: 0.000 0.802 0.204
Pr: 0.814 0.642 0.642
Pr: 0.398 0.903 0.671
Pr: 0.398 0.671 0.903
Tc: 0.998 0.003 0.003
Au: 0.500 0.705 0.301
Au: 0.500 0.301 0.705

Summary:
Total magnetic moment = 0.000 μB/atom
Space group = Cm (8)
E_form = -0.153 eV/atom


Entry 5:
The following is a DFT calculation (PBE) of crystalline Pr2TcAu at its relaxed geometry.

Cell lengths 3.597, 3.597, 7.543 Å; angles 90.00, 90.00, 90.00 degrees
Fractional coordinates of all 4 atoms:
Pr: 0.000 0.000 0.770
Pr: 0.000 0.000 0.230
Au: 0.500 0.500 0.500
Tc: 0.500 0.500 0.000

Summary:
Total magnetic moment = 0.000 μB/atom
Space group = P4/mmm (123)
E_form = -0.250 eV/atom


Entry 6:
The following is a DFT calculation (PBE) of crystalline Pr6Tc2Au at its relaxed geometry.

Cell lengths 8.781, 8.781, 8.781 Å; angles 107.13, 110.65, 110.66 degrees
Fractional coordinates of all 18 atoms:
Pr: 0.525 0.714 0.811
Pr: 0.475 0.286 0.189
Pr: 0.097 0.286 0.811
Pr: 0.903 0.714 0.189
Pr: 0.793 0.777 0.571
Pr: 0.207 0.223 0.429
Pr: 0.207 0.777 0.984
Pr: 0.793 0.223 0.016
Pr: 0.713 0.397 0.683
Pr: 0.287 0.603 0.317
Pr: 0.287 0.970 0.683
Pr: 0.713 0.030 0.317
Tc: 0.500 0.387 0.887
Tc: 0.500 0.613 0.113
Tc: 0.620 0.000 0.620
Tc: 0.380 0.000 0.380
Au: 0.000 0.500 0.500
Au: 0.000 0.000 0.000

Summary:
Total magnetic moment = 0.000 μB/atom
Space group = Immm (71)
E_form = -0.109 eV/atom


Entry 7:
The following is a DFT calculation (PBE) of crystalline PrThTcAu at its relaxed geometry.

Cell lengths 5.155, 5.155, 5.155 Å; angles 60.00, 60.00, 60.00 degrees
Fractional coordinates of all 4 atoms:
Pr: 0.250 0.250 0.250
Au: 0.000 0.000 0.000
Tc: 0.500 0.500 0.500
Th: 0.750 0.750 0.750

Summary:
Total magnetic moment = 0.000 μB/atom
Space group = F-43m (216)
E_form = -0.226 eV/atom


Entry 8:
The following is a DFT calculation (PBE) of crystalline Pr2TeAu at its relaxed geometry.

Cell lengths 4.346, 4.346, 8.082 Å; angles 74.44, 74.44, 59.98 degrees
Fractional coordinates of all 4 atoms:
Pr: 0.745 0.745 0.765
Pr: 0.255 0.255 0.235
Te: 0.500 0.500 0.500
Au: 0.000 0.000 0.000

Summary:
Total magnetic moment = 0.000 μB/atom
Space group = R-3m (166)
E above lowest polymorph = 25 meV/atom